Entry 1:
Material: GaIrN2F
Method: DFT, PBE
State: optimized geometry

Unit cell a=3.966 b=3.966 c=3.601 alpha=90.00 beta=90.00 gamma=90.00
Last column: magnetic moment on the atom in μB.
Fractional positions:
N  0.000  0.500  0.000  -0.02
N  0.500  0.000  0.000  -0.02
Ir  0.500  0.500  0.500  0.28
Ga  0.000  0.000  0.000  0.00
F  0.000  0.000  0.500  0.01

Output
**Formation energy (no corrections)**: 1.02 eV/atom
**Calculated total energy**: -25.308 eV/f.u.
**Energy relative to the lowest polymorph listed for this composition**: 0.783 eV per atom
**SG**: P4/mmm (123)

Entry 2:
Material: GaIrN2F
Method: DFT, PBE
State: optimized geometry

Unit cell a=3.706 b=3.706 c=6.703 alpha=90.00 beta=90.00 gamma=90.00
Last column: magnetic moment on the atom in μB.
Fractional positions:
N  0.000  0.500  0.000  0.11
N  0.500  0.000  0.000  0.11
Ir  0.000  0.000  0.000  -0.04
Ga  0.500  0.500  0.500  0.00
F  0.000  0.000  0.500  0.00

Output
**Formation energy (no corrections)**: 0.24 eV/atom
**Calculated total energy**: -29.225 eV/f.u.
**Energy relative to the lowest polymorph listed for this composition**: 0.000 eV per atom
**SG**: P4/mmm (123)

Entry 3:
Material: GaIrOF2
Method: DFT, PBE
State: optimized geometry

Unit cell a=4.083 b=4.083 c=3.716 alpha=90.00 beta=90.00 gamma=90.00
Last column: magnetic moment on the atom in μB.
Fractional positions:
Ir  0.500  0.500  0.500  1.94
O  0.000  0.000  0.500  0.09
Ga  0.000  0.000  0.000  -0.01
F  0.000  0.500  0.000  0.04
F  0.500  0.000  0.000  0.04

Output
**Formation energy (no corrections)**: -0.49 eV/atom
**Calculated total energy**: -23.026 eV/f.u.
**Energy relative to the lowest polymorph listed for this composition**: 0.342 eV per atom
**SG**: P4/mmm (123)

Entry 4:
Material: GaIrOF2
Method: DFT, PBE
State: optimized geometry

Unit cell a=4.488 b=4.488 c=3.759 alpha=90.00 beta=90.00 gamma=90.00
Fractional positions:
Ir  0.000  0.000  0.000
O  0.000  0.000  0.500
Ga  0.500  0.500  0.500
F  0.000  0.500  0.000
F  0.500  0.000  0.000

Output
**Formation energy (no corrections)**: -0.83 eV/atom
**Calculated total energy**: -24.735 eV/f.u.
**Energy relative to the lowest polymorph listed for this composition**: 0.000 eV per atom
**SG**: P4/mmm (123)

Entry 5:
Material: Ga2ReIrF
Method: DFT, PBE
State: optimized geometry

Unit cell a=4.949 b=4.661 c=4.949 alpha=90.00 beta=90.00 gamma=90.00
Last column: magnetic moment on the atom in μB.
Fractional positions:
Re  0.000  0.000  0.000  0.12
Ir  0.000  0.500  0.000  0.63
Ga  0.000  0.000  0.500  0.01
Ga  0.500  0.000  0.000  0.01
F  0.500  0.500  0.500  0.08

Output
**Formation energy (no corrections)**: 0.58 eV/atom
**Calculated total energy**: -26.332 eV/f.u.
**SG**: P4/mmm (123)

Entry 6:
Material: SrGa2IrF
Method: DFT, PBE
State: optimized geometry

Unit cell a=4.703 b=6.011 c=4.703 alpha=90.00 beta=90.00 gamma=90.00
Fractional positions:
Sr  0.000  0.500  0.000
Ir  0.000  0.000  0.000
Ga  0.000  0.000  0.500
Ga  0.500  0.000  0.000
F  0.500  0.500  0.500

Output
**Formation energy (no corrections)**: -1.01 eV/atom
**Calculated total energy**: -23.494 eV/f.u.
**SG**: P4/mmm (123)

Entry 7:
Material: Ta2GaIrF
Method: DFT, PBE
State: optimized geometry

Unit cell a=4.973 b=3.908 c=4.973 alpha=90.00 beta=90.00 gamma=90.00
Fractional positions:
F  0.000  0.500  0.000
Ir  0.000  0.000  0.000
Ga  0.500  0.500  0.500
Ta  0.000  0.000  0.500
Ta  0.500  0.000  0.000

Output
**Formation energy (no corrections)**: 0.62 eV/atom
**Calculated total energy**: -34.366 eV/f.u.
**SG**: P4/mmm (123)

Entry 8:
Material: TlGaIr2F
Method: DFT, PBE
State: optimized geometry

Unit cell a=5.092 b=4.375 c=5.092 alpha=90.00 beta=90.00 gamma=90.00
Last column: magnetic moment on the atom in μB.
Fractional positions:
Tl  0.000  0.000  0.000  -0.01
Ir  0.000  0.000  0.500  0.46
Ir  0.500  0.000  0.000  0.50
Ga  0.500  0.500  0.500  -0.02
F  0.000  0.500  0.000  0.00

Output
**Formation energy (no corrections)**: 1.10 eV/atom
**Calculated total energy**: -19.471 eV/f.u.
**SG**: P4/mmm (123)